(1)
KRb3Cu2Bi2, relaxed, DFT PBE-GGA; space-group type = Pm (6); DFT total energy = -2.655 eV per atom
1.0
-6.204 -2.869 0.376
1.694 -2.883 5.970
-0.129 6.248 3.053
Rb Bi Cu K
3 2 2 1
Direct
0.156 0.500 0.488 Rb
0.494 0.500 0.157 Rb
0.507 0.000 0.846 Rb
0.753 0.500 0.748 Bi
0.244 0.000 0.255 Bi
0.001 0.752 0.996 Cu
0.001 0.248 0.996 Cu
0.843 0.000 0.514 K

---

(2)
KCuBi2S4, relaxed, DFT PBE-GGA; space-group type = Cmc2_1 (36); DFT total energy = -4.223 eV per atom
1.0
-4.032 0.000 0.000
-2.016 6.943 0.000
0.000 0.000 -14.333
K S Bi Cu
2 8 4 2
Direct
0.112 0.776 0.494 K
0.888 0.224 0.994 K
0.431 0.139 0.503 S
0.748 0.505 0.368 S
0.983 0.035 0.774 S
0.252 0.495 0.868 S
0.569 0.861 0.003 S
0.017 0.965 0.274 S
0.731 0.538 0.638 S
0.269 0.462 0.138 S
0.382 0.236 0.321 Bi
0.618 0.764 0.821 Bi
0.651 0.699 0.204 Bi
0.349 0.301 0.704 Bi
0.852 0.296 0.522 Cu
0.148 0.704 0.022 Cu

---

(3)
K2CuBiSe4, relaxed, DFT PBE-GGA; space-group type = Fddd (70); DFT total energy = -3.514 eV per atom
1.0
-13.045 -2.104 -1.168
-10.396 4.330 2.404
-3.127 -1.569 -6.994
K Bi Se Cu
4 2 8 2
Direct
0.814 0.814 0.186 K
0.064 0.064 0.436 K
0.186 0.186 0.814 K
0.436 0.436 0.064 K
0.000 0.000 0.000 Bi
0.250 0.250 0.250 Bi
0.155 0.483 0.560 Se
0.483 0.155 0.801 Se
0.449 0.690 0.767 Se
0.801 0.560 0.483 Se
0.690 0.449 0.095 Se
0.095 0.767 0.690 Se
0.767 0.095 0.449 Se
0.560 0.801 0.155 Se
0.750 0.750 0.750 Cu
0.500 0.500 0.500 Cu

---

(4)
KCuBiSe3, relaxed, DFT PBE-GGA; space-group type = Cmcm (63); DFT total energy = -3.710 eV per atom
1.0
2.048 -7.362 0.000
2.048 7.362 0.000
0.000 0.000 11.156
K Se Cu Bi
2 6 2 2
Direct
0.743 0.257 0.250 K
0.257 0.743 0.750 K
0.060 0.940 0.250 Se
0.632 0.368 0.567 Se
0.368 0.632 0.433 Se
0.940 0.060 0.750 Se
0.368 0.632 0.067 Se
0.632 0.368 0.933 Se
0.539 0.461 0.750 Cu
0.461 0.539 0.250 Cu
0.000 0.000 0.500 Bi
0.000 0.000 0.000 Bi

---

no.,ρ (g/cm³)
1,4.55
2,5.37
3,4.61
4,5.42